Below is an optimized crystal structure of RbTeAu, with properties calculated at the GGA-PBE level.

The structure in POSCAR format:
```
RbTeAu
1.0
4.877 0.000 0.000
0.000 10.273 0.000
-2.439 -5.136 4.642
Au Rb Te
2 2 2
direct
0.840 0.340 0.680
0.160 0.660 0.320
0.500 0.226 0.000
0.500 0.774 0.000
0.768 0.768 0.537
0.232 0.232 0.463
```

Calculated values
E_form (uncorrected)   -0.59 eV per atom
Total moment   0.0000 μB/atom
Crystal system   orthorhombic